Below is crystalline K2CoAgO4 at its relaxed geometry, with properties calculated at the PBE with a Hubbard U level.

Lattice parameters (Å, degrees): 11.4807 10.1681 6.5753 83.64 61.67 34.69
With the nearest neighbours (Å) after each atom.
Sites, in units of the cell vectors:
K 0.0576 0.0576 0.6924  4 O 2.87-3.09
K 0.3076 0.3076 0.9424  4 O 2.87-3.09
K 0.6924 0.6924 0.0576  4 O 2.87-3.09
K 0.9424 0.9424 0.3076  4 O 2.87-3.09
Co 0.3750 0.3750 0.3750  4 O 1.83
Co 0.6250 0.6250 0.6250  4 O 1.83
Ag 0.1250 0.1250 0.1250  4 O 2.19
Ag 0.8750 0.8750 0.8750  4 O 2.19
O 0.0304 0.6299 0.5240  1 Co 1.83
O 0.3157 0.5240 0.6299  1 Co 1.83
O 0.3701 0.9696 0.6843  1 Co 1.83
O 0.4760 0.6843 0.9696  1 Co 1.83
O 0.5240 0.3157 0.0304  1 Co 1.83
O 0.6299 0.0304 0.3157  1 Co 1.83
O 0.6843 0.4760 0.3701  1 Co 1.83
O 0.9696 0.3701 0.4760  1 Co 1.83

Calculated values
- DOS at the Fermi energy: 0.4383 states/eV/atom
- SG: Fddd
- Total magnetization: 6.0 μB per formula unit
- Crystal system: orthorhombic
- VASP energy: -4.4662 eV/atom